K2AgWF | Alexandria via LeMat-Bulk | GGA+U | optimized geometry; magnetic moment = 4.947 μB per cell; uncorrected energy = -2.92 eV/atom; density of states at the Fermi level = 1.89 states/eV per cell
1.0
4.8481 0.0000 0.0000
0.0000 6.0853 0.0000
0.0000 0.0000 4.8481
Ag K F W
1 2 1 1
direct
0.0000 0.5000 0.0000 Ag
0.5000 0.0000 0.0000 K
0.0000 0.0000 0.5000 K
0.0000 0.0000 0.0000 F
0.5000 0.5000 0.5000 W